! Li2HgO4 (PBE, relaxed); values from VASP
&SYSTEM
  ibrav = 0, nat = 14, ntyp = 3
/
ATOMIC_SPECIES
Hg 200.59 Hg.upf
Li 6.94 Li.upf
O 16.00 O.upf
ATOMIC_POSITIONS crystal
Hg 0.0000 0.0000 0.0000
Hg 0.7500 0.5000 0.2500
Li 0.3750 0.7500 0.1250
Li 0.3750 0.7500 0.6250
Li 0.8750 0.2500 0.6250
Li 0.3750 0.2500 0.6250
O 0.1740 0.7828 0.3912
O 0.6085 0.2172 0.3912
O 0.6088 0.7828 0.3915
O 0.1412 0.2828 0.4240
O 0.6088 0.2172 0.8260
O 0.1412 0.7172 0.8585
O 0.1415 0.2828 0.8588
O 0.5760 0.7172 0.8588
CELL_PARAMETERS angstrom
4.2504 -4.2523 0.0000
-4.2504 0.0000 -4.2523
4.2504 4.2523 0.0000
! - VASP energy (eV per formula unit) = -25.658
! - space group = No. 227